Material: FeTe3P
Method: DFT, GGA-PBE
State: optimized geometry

Summary:
- Distance to the lowest polymorph of the same formula: 0.0 meV per atom
- Space group: No. 11
- Raw formation energy: 0.35 kcal/mol of atoms
- Final energy: -4.64 eV/atom

Cell: 8.9089 3.6424 8.9744 Å, 90.00 110.36 90.00°
Closest atoms and distances in Å follow each position.
Atoms (fractional coordinates):
1 Fe 0.1946 0.2500 0.4627  2 P 2.18
2 Fe 0.8054 0.7500 0.5373  2 P 2.18
3 Te 0.1214 0.7500 0.6435  3 Fe 2.64-2.67
4 Te 0.1414 0.2500 0.1514  1 Fe 2.67, 2 P 2.78
5 Te 0.4648 0.2500 0.6955  1 Fe 2.58, 1 P 2.60
6 Te 0.5352 0.7500 0.3045  1 Fe 2.58, 1 P 2.60
7 Te 0.8586 0.7500 0.8486  1 Fe 2.67, 2 P 2.78
8 Te 0.8786 0.2500 0.3565  3 Fe 2.64-2.67
9 P 0.2856 0.7500 0.3921  2 Fe 2.18
10 P 0.7144 0.2500 0.6079  2 Fe 2.18

Material: Zr2VS2
Method: DFT, GGA-PBE
State: optimized geometry

Summary:
- Distance to the lowest polymorph of the same formula: 0.0 meV per atom
- Space group: No. 127
- Raw formation energy: -21.77 kcal/mol of atoms
- Final energy: -7.84 eV/atom

Cell: 6.7579 6.7579 3.5620 Å, 90.00 90.00 90.00°
Closest atoms and distances in Å follow each position.
Atoms (fractional coordinates):
1 Zr 0.1598 0.3402 0.0000  6 S 2.53-2.76
2 Zr 0.3402 0.8402 0.0000  6 S 2.53-2.76
3 Zr 0.6598 0.1598 0.0000  6 S 2.53-2.76
4 Zr 0.8402 0.6598 0.0000  6 S 2.53-2.76
5 V 0.0000 0.0000 0.5000  4 S 2.56
6 V 0.5000 0.5000 0.5000  4 S 2.56
7 S 0.1524 0.6524 0.5000  6 Zr 2.53-2.76, 2 V 2.56
8 S 0.3476 0.1524 0.5000  6 Zr 2.53-2.76, 2 V 2.56
9 S 0.6524 0.8476 0.5000  6 Zr 2.53-2.76, 2 V 2.56
10 S 0.8476 0.3476 0.5000  6 Zr 2.53-2.76, 2 V 2.56

Material: YC5
Method: DFT, GGA-PBE
State: optimized geometry

Summary:
- Distance to the lowest polymorph of the same formula: 1978.1 meV per atom
- Space group: No. 191
- ΔE_f: 2.48 eV per atom
- Final energy: -6.28 eV/atom

Cell: 4.7085 4.7085 2.6541 Å, 90.00 90.00 120.00°
Closest atoms and distances in Å follow each position.
Atoms (fractional coordinates):
1 Y 0.0000 0.0000 0.0000  2 Y 2.65, 18 C 2.70-2.72
2 C 0.0000 0.5000 0.5000  4 C 1.90
3 C 0.3333 0.6667 0.0000  6 C 1.90
4 C 0.5000 0.0000 0.5000  4 C 1.90
5 C 0.5000 0.5000 0.5000  4 C 1.90
6 C 0.6667 0.3333 0.0000  6 C 1.90

Material: La3Pm6DyHo2
Method: DFT, GGA-PBE
State: optimized geometry

Summary:
- Space group: No. 12
- ΔE_f: 0.02 eV per atom
- Final energy: -4.73 eV/atom

Cell: 6.3218 6.3218 12.0874 Å, 95.02 95.02 120.05°
Closest atoms and distances in Å follow each position.
Atoms (fractional coordinates):
1 La 0.0000 0.0000 0.0000  6 La 3.65, 6 Pm 3.71
2 La 0.3332 0.6668 0.0000  6 La 3.65, 6 Pm 3.71
3 La 0.6668 0.3332 0.0000  6 La 3.65, 6 Pm 3.71
4 Pm 0.0855 0.4190 0.2566  2 Ho 3.58, 1 Dy 3.58, 6 Pm 3.65, 3 La 3.71
5 Pm 0.2476 0.2476 0.7435  2 Ho 3.58, 1 Dy 3.58, 6 Pm 3.65, 3 La 3.71
6 Pm 0.4190 0.0855 0.2566  2 Ho 3.58, 1 Dy 3.58, 6 Pm 3.65, 3 La 3.71
7 Pm 0.5810 0.9145 0.7434  2 Ho 3.58, 1 Dy 3.58, 6 Pm 3.65, 3 La 3.71
8 Pm 0.7524 0.7524 0.2565  2 Ho 3.58, 1 Dy 3.58, 6 Pm 3.65, 3 La 3.71
9 Pm 0.9145 0.5810 0.7434  2 Ho 3.58, 1 Dy 3.58, 6 Pm 3.65, 3 La 3.71
10 Dy 0.5000 0.5000 0.5000  6 Pm 3.58, 6 Ho 3.65
11 Ho 0.1667 0.8333 0.5000  6 Pm 3.58, 3 Ho 3.65, 3 Dy 3.65
12 Ho 0.8333 0.1667 0.5000  6 Pm 3.58, 3 Ho 3.65, 3 Dy 3.65

Material: Th3Al3Zn8
Method: DFT, GGA-PBE
State: optimized geometry

Summary:
- Space group: No. 71
- ΔE_f: -0.31 eV per atom
- Final energy: -3.43 eV/atom

Cell: 8.3521 8.3521 8.3521 Å, 149.77 109.16 78.92°
Closest atoms and distances in Å follow each position.
Atoms (fractional coordinates):
1 Th 0.0000 0.0000 0.0000  12 Zn 3.21-3.27, 4 Al 3.51
2 Th 0.3095 0.3095 0.0000  10 Zn 3.16-3.41, 4 Al 3.22-3.28
3 Th 0.6905 0.6905 0.0000  10 Zn 3.16-3.41, 4 Al 3.22-3.28
4 Al 0.2845 0.5000 0.7845  6 Zn 2.56-2.85
5 Al 0.5000 0.0000 0.5000  4 Zn 2.87, 4 Al 3.02
6 Al 0.7155 0.5000 0.2155  6 Zn 2.56-2.85
7 Zn 0.0304 0.6618 0.3686  4 Zn 2.54-2.69, 1 Al 2.56
8 Zn 0.1304 0.8579 0.2726  3 Zn 2.58-2.69, 3 Al 2.85-2.87
9 Zn 0.2932 0.6618 0.6314  4 Zn 2.54-2.69, 1 Al 2.56
10 Zn 0.4147 0.1421 0.2726  3 Zn 2.58-2.69, 3 Al 2.85-2.87
11 Zn 0.5853 0.8579 0.7274  3 Zn 2.58-2.69, 3 Al 2.85-2.87
12 Zn 0.7068 0.3382 0.3686  4 Zn 2.54-2.69, 1 Al 2.56
13 Zn 0.8696 0.1421 0.7274  3 Zn 2.58-2.69, 3 Al 2.85-2.87
14 Zn 0.9696 0.3382 0.6314  4 Zn 2.54-2.69, 1 Al 2.56

Material: In3CuPd6
Method: DFT, GGA-PBE
State: optimized geometry

Summary:
- Space group: No. 11
- ΔE_f: -0.41 eV per atom
- Final energy: -4.76 eV/atom

Cell: 7.5781 4.6961 10.0590 Å, 90.00 111.98 90.00°
Closest atoms and distances in Å follow each position.
Atoms (fractional coordinates):
1 In 0.0740 0.2500 0.2233  8 Pd 2.68-2.90, 1 Cu 2.90
2 In 0.2975 0.2500 0.0129  11 Pd 2.78-2.99
3 In 0.3366 0.7500 0.3862  9 Pd 2.75-2.94, 1 Cu 2.95
4 In 0.6634 0.2500 0.6138  9 Pd 2.75-2.94, 1 Cu 2.95
5 In 0.7025 0.7500 0.9871  11 Pd 2.78-2.99
6 In 0.9260 0.7500 0.7767  8 Pd 2.68-2.90, 1 Cu 2.90
7 Cu 0.1212 0.7500 0.5776  8 Pd 2.66-2.78, 2 In 2.90-2.95
8 Cu 0.8788 0.2500 0.4224  8 Pd 2.66-2.78, 2 In 2.90-2.95
9 Pd 0.0689 0.2500 0.7053  3 Cu 2.66-2.78, 4 In 2.79-2.93, 3 Pd 2.80-2.97
10 Pd 0.1090 0.7500 0.0770  7 In 2.81-2.94, 5 Pd 2.86-3.04
11 Pd 0.2642 0.2500 0.5173  3 Cu 2.71-2.75, 4 In 2.76-2.84, 3 Pd 2.80-3.03
12 Pd 0.3056 0.7500 0.8637  4 In 2.68-2.80, 1 Cu 2.69, 4 Pd 2.82-2.96
13 Pd 0.4853 0.2500 0.3205  5 In 2.75-2.90, 1 Cu 2.77, 6 Pd 2.80-3.08
14 Pd 0.4851 0.2500 0.8221  4 In 2.78-2.99, 8 Pd 2.80-2.96
15 Pd 0.5149 0.7500 0.1779  4 In 2.78-2.99, 8 Pd 2.80-2.96
16 Pd 0.5147 0.7500 0.6795  5 In 2.75-2.90, 1 Cu 2.77, 6 Pd 2.80-3.08
17 Pd 0.6944 0.2500 0.1363  4 In 2.68-2.80, 1 Cu 2.69, 4 Pd 2.82-2.96
18 Pd 0.7358 0.7500 0.4827  3 Cu 2.71-2.75, 4 In 2.76-2.84, 3 Pd 2.80-3.03
19 Pd 0.8910 0.2500 0.9230  7 In 2.81-2.94, 5 Pd 2.86-3.04
20 Pd 0.9311 0.7500 0.2947  3 Cu 2.66-2.78, 4 In 2.79-2.93, 3 Pd 2.80-2.97

Material: Ti2ReSnB
Method: DFT, GGA-PBE
State: optimized geometry

Summary:
- Space group: No. 123
- ΔE_f: 1.86 eV per atom
- Final energy: -5.93 eV/atom

Cell: 5.0141 5.0141 3.8835 Å, 90.00 90.00 90.00°
Closest atoms and distances in Å follow each position.
Atoms (fractional coordinates):
1 Ti 0.0000 0.5000 0.0000  2 Sn 2.51
2 Ti 0.5000 0.0000 0.0000  2 Sn 2.51
3 Re 0.0000 0.0000 0.5000  8 Ti 3.17, 4 B 3.55
4 Sn 0.5000 0.5000 0.0000  2 B 1.94
5 B 0.5000 0.5000 0.5000  2 Sn 1.94

Material: BeTlCd2
Method: DFT, GGA-PBE
State: optimized geometry

Summary:
- Distance to the lowest polymorph of the same formula: 34.8 meV per atom
- Space group: No. 166
- ΔE_f: 0.32 eV per atom
- Final energy: -1.66 eV/atom

Cell: 9.2136 9.2136 9.2136 Å, 20.56 20.56 20.56°
Closest atoms and distances in Å follow each position.
Atoms (fractional coordinates):
1 Be 0.0000 0.0000 0.0000  6 Cd 2.62
2 Tl 0.5000 0.5000 0.5000  6 Tl 3.29, 6 Cd 3.30
3 Cd 0.2666 0.2666 0.2666  3 Be 2.62
4 Cd 0.7334 0.7334 0.7334  3 Be 2.62